# 1
! TlHg2Pd2 PBE relaxed; values from VASP
! SG: I4/mmm
! DOS at the Fermi energy in states/eV/f.u.: 1.90
! ΔE to the lowest computed polymorph in meV/atom: 137
! Energy of formation in meV per atom: 27
&SYSTEM
  ibrav = 0, nat = 5, ntyp = 3
/
ATOMIC_SPECIES
Tl 204.38 Tl.upf
Hg 200.59 Hg.upf
Pd 106.42 Pd.upf
ATOMIC_POSITIONS crystal
Tl 0.000 0.000 0.000
Hg 0.389 0.389 0.000
Hg 0.611 0.611 0.000
Pd 0.250 0.750 0.500
Pd 0.750 0.250 0.500
CELL_PARAMETERS angstrom
-2.052 2.052 6.741
2.052 -2.052 6.741
2.052 2.052 -6.741

***

# 2
! Sm8C3S3O PBE relaxed; values from VASP
! SG: R-3m
! DOS at the Fermi energy in states/eV/f.u.: 6.81
! Energy relative to the elements, uncorrected in meV per atom: -1300
&SYSTEM
  ibrav = 0, nat = 15, ntyp = 4
/
ATOMIC_SPECIES
Sm 150.36 Sm.upf
C 12.01 C.upf
S 32.06 S.upf
O 16.00 O.upf
ATOMIC_POSITIONS crystal
Sm 0.232 0.742 0.742
Sm 0.240 0.240 0.240
Sm 0.258 0.258 0.768
Sm 0.258 0.768 0.258
Sm 0.742 0.232 0.742
Sm 0.742 0.742 0.232
Sm 0.760 0.760 0.760
Sm 0.768 0.258 0.258
C 0.000 0.000 0.500
C 0.000 0.500 0.000
C 0.500 0.000 0.000
S 0.000 0.500 0.500
S 0.500 0.000 0.500
S 0.500 0.500 0.000
O 0.500 0.500 0.500
CELL_PARAMETERS angstrom
3.785 2.185 6.433
-3.785 2.185 6.433
0.000 -4.371 6.433

***

Please write out number 2 again, unchanged.
! Sm8C3S3O PBE relaxed; values from VASP
! SG: R-3m
! DOS at the Fermi energy in states/eV/f.u.: 6.81
! Energy relative to the elements, uncorrected in meV per atom: -1300
&SYSTEM
  ibrav = 0, nat = 15, ntyp = 4
/
ATOMIC_SPECIES
Sm 150.36 Sm.upf
C 12.01 C.upf
S 32.06 S.upf
O 16.00 O.upf
ATOMIC_POSITIONS crystal
Sm 0.232 0.742 0.742
Sm 0.240 0.240 0.240
Sm 0.258 0.258 0.768
Sm 0.258 0.768 0.258
Sm 0.742 0.232 0.742
Sm 0.742 0.742 0.232
Sm 0.760 0.760 0.760
Sm 0.768 0.258 0.258
C 0.000 0.000 0.500
C 0.000 0.500 0.000
C 0.500 0.000 0.000
S 0.000 0.500 0.500
S 0.500 0.000 0.500
S 0.500 0.500 0.000
O 0.500 0.500 0.500
CELL_PARAMETERS angstrom
3.785 2.185 6.433
-3.785 2.185 6.433
0.000 -4.371 6.433

***

> What is the DOS at the Fermi energy in the second record?

6.81 states/eV/f.u.

***

> Number 1 is which compound?

TlHg2Pd2